Entry 1:
Mg2In2Bi PBEsol relaxed; calculated volume = 247.3 Å³/cell; space group = P4/mbm; calculated total energy = -2.80 eV per atom; DFT formation energy = -0.060 eV per atom; total magnetic moment = 0.00 μB per formula unit
1.0
3.2308 0.0000 0.0000
0.0000 8.7495 0.0000
0.0000 0.0000 8.7495
Mg Bi In
4 2 4
Direct
0.5000 0.6751 0.8249
0.5000 0.3249 0.1751
0.5000 0.8249 0.3249
0.5000 0.1751 0.6751
0.0000 0.0000 0.0000
0.0000 0.5000 0.5000
0.0000 0.6243 0.1243
0.0000 0.1243 0.3757
0.0000 0.8757 0.6243
0.0000 0.3757 0.8757

=====

Entry 2:
CdPb2 PBEsol relaxed; offset from the most stable computed form = 38 meV/atom; calculated volume = 168.1 Å³/cell; space group = I4_1/amd; calculated total energy = -2.99 eV per atom; DFT formation energy = 0.072 eV per atom; total magnetic moment = 0.00 μB per formula unit
1.0
-0.5058 -2.2674 2.6087
3.4294 -0.6580 0.0931
0.2373 11.6134 7.8014
Cd Pb
2 4
Direct
0.0000 0.0000 0.0000
0.2500 0.7500 0.5000
0.4273 0.4273 0.8545
0.6773 0.1773 0.3545
0.8227 0.3227 0.6455
0.5727 0.5727 0.1455

=====

Entry 3:
Zr5SiSb3 PBEsol relaxed; calculated volume = 365.6 Å³/cell; space group = P6_3/mcm; calculated total energy = -8.10 eV per atom; energy relative to the elements, uncorrected = -778 kJ/mol of formula units; total magnetic moment = 0.00 μB per formula unit
1.0
-3.1206 3.6470 3.2083
-7.1662 -2.9531 -3.6133
3.0276 -3.6636 7.1093
Sb Si Zr
6 2 10
Direct
0.2500 0.3945 0.0000
0.2500 0.0000 0.3945
0.7500 0.6055 0.0000
0.7500 0.3945 0.3945
0.7500 0.0000 0.6055
0.2500 0.6055 0.6055
0.0000 0.0000 0.0000
0.5000 0.0000 0.0000
0.2500 0.7394 0.0000
0.7500 0.0000 0.2606
0.5000 0.6667 0.3333
0.2500 0.0000 0.7394
0.5000 0.3333 0.6667
0.0000 0.6667 0.3333
0.2500 0.2606 0.2606
0.7500 0.2606 0.0000
0.7500 0.7394 0.7394
0.0000 0.3333 0.6667